Compound: DyAlHg
Source: Alexandria
Functional: GGA-PBE
Structure: relaxed

Summary:
theoretical density: 9.52 Mg/m³
E above lowest polymorph: 20 meV/atom
size of the total moment: 0.000 μB per formula unit
crystal system: monoclinic
energy relative to the elements: -0.443 eV per atom

Lattice parameters (Å, degrees): 10.816 4.611 7.266 90.00 131.34 90.00
Space group C2/m (No. 12)
One atom of each set of equivalent atoms:
Dy1 0.033 0.000 0.287 x4
Al1 0.157 0.500 0.122 x4
Hg1 0.174 0.500 0.724 x4